Record 1
Density functional theory data (PBE) for a relaxed structure of RbIn.

Raw total energy ... -1.657 eV/atom
SG ... P4_2/mnm (136)
Excess energy over the best structure of this formula in the dataset ... 56 kJ/mol of formula units
Energy of formation from the pure elements ... 0.1963 eV per atom

a b c (Å): 7.4348 7.4348 7.5826
angles (deg): 90.00 90.00 90.00
With the nearest neighbours (Å) after each atom.
Fractional positions:
Rb: 0.1762 0.1762 0.0000  1 Rb 3.71, 4 In 3.72-3.81
Rb: 0.3238 0.6762 0.5000  1 Rb 3.71, 4 In 3.72-3.81
Rb: 0.6762 0.3238 0.5000  1 Rb 3.71, 4 In 3.72-3.81
Rb: 0.8238 0.8238 0.0000  1 Rb 3.71, 4 In 3.72-3.81
In: 0.1418 0.1418 0.5000  1 In 2.98
In: 0.3582 0.6418 0.0000  1 In 2.98
In: 0.6418 0.3582 0.0000  1 In 2.98
In: 0.8582 0.8582 0.5000  1 In 2.98


Record 2
Density functional theory data (PBE) for a relaxed structure of Rb12In.

Raw total energy ... -1.062 eV/atom
SG ... Im-3 (204)
Energy of formation from the pure elements ... 0.0418 eV per atom

a b c (Å): 11.0621 11.0621 11.0621
angles (deg): 109.47 109.47 109.47
With the nearest neighbours (Å) after each atom.
Fractional positions:
Rb: 0.1280 0.3007 0.8272  9 Rb 4.41-4.91, 1 In 4.43
Rb: 0.1728 0.4735 0.3007  9 Rb 4.41-4.91, 1 In 4.43
Rb: 0.1728 0.8720 0.6993  9 Rb 4.41-4.91, 1 In 4.43
Rb: 0.3007 0.1728 0.4735  9 Rb 4.41-4.91, 1 In 4.43
Rb: 0.3007 0.8272 0.1280  9 Rb 4.41-4.91, 1 In 4.43
Rb: 0.4735 0.3007 0.1728  9 Rb 4.41-4.91, 1 In 4.43
Rb: 0.5265 0.6993 0.8272  9 Rb 4.41-4.91, 1 In 4.43
Rb: 0.6993 0.1728 0.8720  9 Rb 4.41-4.91, 1 In 4.43
Rb: 0.6993 0.8272 0.5265  9 Rb 4.41-4.91, 1 In 4.43
Rb: 0.8272 0.1280 0.3007  9 Rb 4.41-4.91, 1 In 4.43
Rb: 0.8272 0.5265 0.6993  9 Rb 4.41-4.91, 1 In 4.43
Rb: 0.8720 0.6993 0.1728  9 Rb 4.41-4.91, 1 In 4.43
In: 0.0000 0.0000 0.0000  12 Rb 4.43


Record 3
Density functional theory data (PBE) for a relaxed structure of RbIn.

Raw total energy ... -1.713 eV/atom
SG ... Pmmn (59)
Excess energy over the best structure of this formula in the dataset ... 45 kJ/mol of formula units
Energy of formation from the pure elements ... 0.1402 eV per atom

a b c (Å): 4.9097 17.7669 6.0826
angles (deg): 90.00 90.00 90.00
With the nearest neighbours (Å) after each atom.
Fractional positions:
Rb: 0.2500 0.0886 0.0080  7 In 3.80-4.00, 4 Rb 3.86-3.99
Rb: 0.2500 0.4114 0.0080  7 In 3.80-4.00, 4 Rb 3.86-3.99
Rb: 0.2500 0.7500 0.1252  4 In 3.70-4.12, 4 Rb 3.86
Rb: 0.7500 0.2500 0.8748  4 In 3.70-4.12, 4 Rb 3.86
Rb: 0.7500 0.5886 0.9920  7 In 3.80-4.00, 4 Rb 3.86-3.99
Rb: 0.7500 0.9114 0.9920  7 In 3.80-4.00, 4 Rb 3.86-3.99
In: 0.2500 0.2500 0.4188  6 Rb 3.70-4.12
In: 0.2500 0.5530 0.5015  2 In 3.09
In: 0.2500 0.9470 0.5015  2 In 3.09
In: 0.7500 0.0530 0.4985  2 In 3.09
In: 0.7500 0.4470 0.4985  2 In 3.09
In: 0.7500 0.7500 0.5812  6 Rb 3.70-4.12


Record 4
Density functional theory data (PBE) for a relaxed structure of RbIn.

Raw total energy ... -1.201 eV/atom
SG ... Pm-3n (223)
Excess energy over the best structure of this formula in the dataset ... 144 kJ/mol of formula units
Energy of formation from the pure elements ... 0.6520 eV per atom

a b c (Å): 10.4160 10.4160 10.4160
angles (deg): 90.00 90.00 90.00
With the nearest neighbours (Å) after each atom.
Fractional positions:
Rb: 0.0000 0.2500 0.5000  4 In 3.68
Rb: 0.0000 0.7500 0.5000  4 In 3.68
Rb: 0.2500 0.5000 0.0000  4 In 3.68
Rb: 0.5000 0.0000 0.2500  4 In 3.68
Rb: 0.5000 0.0000 0.7500  4 In 3.68
Rb: 0.7500 0.5000 0.0000  4 In 3.68
In: 0.0000 0.5000 0.2500  4 Rb 3.68
In: 0.0000 0.5000 0.7500  4 Rb 3.68
In: 0.2500 0.0000 0.5000  4 Rb 3.68
In: 0.5000 0.2500 0.0000  4 Rb 3.68
In: 0.5000 0.7500 0.0000  4 Rb 3.68
In: 0.7500 0.0000 0.5000  4 Rb 3.68


What is the energy of formation from the pure elements in the fourth record?
0.6520 eV per atom